(1)
A plane-wave DFT calculation with PBE-GGA was carried out for a relaxed Na3IrO crystal.

Cell and atoms, written as POSCAR:
```
Na3IrO
1.0
-4.565 0.488 -0.126
-0.500 -4.528 0.584
-0.062 0.594 4.553
Na Ir O
3 1 1
direct
0.500 0.000 0.000
0.000 0.500 0.000
0.000 0.000 0.500
0.500 0.500 0.500
0.000 0.000 0.000
```

=====

(2)
A plane-wave DFT calculation with PBE-GGA was carried out for a relaxed NaIr4O12 crystal.

Cell and atoms, written as POSCAR:
```
NaIr4O12
1.0
6.346 0.000 0.000
-2.115 5.983 0.000
-2.115 -2.992 5.182
Ir O Na
4 12 1
direct
0.000 0.500 0.000
0.500 0.500 0.500
0.500 0.000 0.000
0.000 0.000 0.500
0.696 0.877 0.181
0.515 0.819 0.696
0.304 0.123 0.819
0.819 0.304 0.123
0.123 0.819 0.304
0.819 0.696 0.515
0.485 0.181 0.304
0.877 0.181 0.696
0.696 0.515 0.819
0.181 0.304 0.485
0.304 0.485 0.181
0.181 0.696 0.877
0.000 0.000 0.000
```

=====

(3)
A plane-wave DFT calculation with PBE-GGA was carried out for a relaxed Na2IrO6 crystal.

Cell and atoms, written as POSCAR:
```
Na2IrO6
1.0
-4.113 2.863 -0.998
-3.026 -3.772 1.652
0.375 3.811 9.385
O Na Ir
12 4 2
direct
0.759 0.241 0.000
0.680 0.680 0.129
0.820 0.180 0.371
0.820 0.180 0.629
0.180 0.820 0.629
0.741 0.741 0.500
0.320 0.320 0.871
0.180 0.820 0.371
0.680 0.680 0.871
0.259 0.259 0.500
0.241 0.759 0.000
0.320 0.320 0.129
0.000 0.000 0.165
0.000 0.000 0.835
0.500 0.500 0.335
0.500 0.500 0.665
0.500 0.500 0.000
0.000 0.000 0.500
```

=====

(4)
A plane-wave DFT calculation with PBE-GGA was carried out for a relaxed NaIrO3 crystal.

Cell and atoms, written as POSCAR:
```
NaIrO3
1.0
-0.327 -1.323 -2.504
1.358 -5.059 2.497
-4.170 -3.317 2.299
O Na Ir
3 1 1
direct
0.720 0.816 0.205
0.720 0.242 0.203
0.720 0.240 0.779
0.220 0.433 0.395
0.220 0.099 0.062
```

=====

(5)
A plane-wave DFT calculation with PBE-GGA was carried out for a relaxed NaIrO3 crystal.

Cell and atoms, written as POSCAR:
```
NaIrO3
1.0
-3.093 -1.248 -4.226
-5.097 -0.771 3.959
-1.019 6.908 -1.294
O Na Ir
12 4 4
direct
0.085 0.185 0.037
0.941 0.074 0.667
0.059 0.926 0.333
0.915 0.815 0.963
0.165 0.647 0.604
0.585 0.815 0.463
0.415 0.185 0.537
0.335 0.647 0.104
0.441 0.926 0.833
0.835 0.353 0.396
0.559 0.074 0.167
0.665 0.353 0.896
0.256 0.400 0.323
0.756 0.600 0.177
0.744 0.600 0.677
0.244 0.400 0.823
0.241 0.917 0.078
0.759 0.083 0.922
0.259 0.917 0.578
0.741 0.083 0.422
```

=====

(6)
A plane-wave DFT calculation with PBE-GGA was carried out for a relaxed Na3IrO4 crystal.

Cell and atoms, written as POSCAR:
```
Na3IrO4
1.0
5.529 0.003 0.000
-1.936 5.392 0.000
0.000 0.000 6.560
O Ir Na
8 2 6
direct
0.003 0.193 0.099
0.997 0.807 0.901
0.503 0.193 0.901
0.038 0.776 0.332
0.462 0.224 0.332
0.962 0.224 0.668
0.538 0.776 0.668
0.497 0.807 0.099
0.750 0.000 0.875
0.250 0.000 0.125
0.250 0.000 0.618
0.250 0.500 0.383
0.750 0.000 0.382
0.250 0.500 0.879
0.750 0.500 0.121
0.750 0.500 0.617
```

=====

(7)
A plane-wave DFT calculation with PBE-GGA was carried out for a relaxed Na2Ir2O7 crystal.

Cell and atoms, written as POSCAR:
```
Na2Ir2O7
1.0
-4.451 0.392 -1.959
1.888 -2.230 -4.737
-0.545 -4.467 1.886
O Na Ir
7 2 2
direct
0.500 0.782 0.000
0.000 0.782 0.500
0.500 0.806 0.500
0.000 0.218 0.500
0.500 0.194 0.500
0.500 0.218 0.000
0.000 0.000 0.000
0.753 0.500 0.753
0.247 0.500 0.247
0.274 0.000 0.726
0.726 0.000 0.274
```

=====

(8)
A plane-wave DFT calculation with PBE-GGA was carried out for a relaxed NaIrO2 crystal.

Cell and atoms, written as POSCAR:
```
NaIrO2
1.0
1.533 -2.238 2.742
-1.989 -0.739 3.221
-1.419 -3.532 0.623
Ir Na O
1 1 2
direct
0.500 0.500 0.500
0.000 0.000 0.000
0.750 0.750 0.750
0.250 0.250 0.250
```

=====

(9)
A plane-wave DFT calculation with PBE-GGA was carried out for a relaxed NaIrOs2O8 crystal.

Cell and atoms, written as POSCAR:
```
NaIrOs2O8
1.0
-4.671 -0.438 0.161
0.267 -4.195 2.089
-0.071 2.798 5.635
O Os Ir Na
8 2 1 1
direct
0.303 0.303 0.000
0.697 0.697 0.000
0.670 0.670 0.500
0.786 0.215 0.778
0.215 0.786 0.778
0.785 0.214 0.222
0.214 0.785 0.222
0.330 0.330 0.500
0.500 0.500 0.752
0.500 0.500 0.248
0.000 0.000 0.000
0.000 0.000 0.500
```

=====

(10)
A plane-wave DFT calculation with PBE-GGA was carried out for a relaxed NaIrOsO6 crystal.

Cell and atoms, written as POSCAR:
```
NaIrOsO6
1.0
7.084 0.000 0.000
0.000 7.272 0.000
-3.542 -3.636 5.101
O Os Na Ir
12 2 2 2
direct
0.568 0.324 0.752
0.830 0.080 0.660
0.816 0.676 0.248
0.170 0.920 0.340
0.556 0.306 0.112
0.432 0.072 0.248
0.816 0.072 0.248
0.184 0.324 0.752
0.184 0.928 0.752
0.568 0.928 0.752
0.444 0.694 0.888
0.432 0.676 0.248
0.500 0.000 0.000
0.500 0.500 0.000
0.935 0.685 0.869
0.065 0.315 0.131
0.500 0.000 0.500
0.000 0.000 0.500
```

=====

(11)
A plane-wave DFT calculation with PBE-GGA was carried out for a relaxed NaIr2OsO8 crystal.

Cell and atoms, written as POSCAR:
```
NaIr2OsO8
1.0
-1.019 3.653 -2.698
-4.465 -0.117 1.316
1.316 3.920 4.810
O Os Na Ir
8 1 1 2
direct
0.796 0.204 0.217
0.700 0.699 0.000
0.204 0.796 0.783
0.324 0.325 0.500
0.204 0.796 0.217
0.796 0.204 0.783
0.300 0.301 0.000
0.676 0.675 0.500
0.000 0.000 0.000
0.000 0.000 0.500
0.500 0.500 0.252
0.500 0.500 0.748
```

=====

(12)
A plane-wave DFT calculation with PBE-GGA was carried out for a relaxed NaP2IrO8 crystal.

Cell and atoms, written as POSCAR:
```
NaP2IrO8
1.0
-2.005 1.639 -4.496
-2.310 -3.832 2.627
-3.893 4.715 3.455
O Ir P Na
8 1 2 1
direct
0.667 0.333 0.460
0.333 0.667 0.540
0.170 0.341 0.827
0.830 0.659 0.173
0.830 0.170 0.173
0.659 0.830 0.827
0.170 0.830 0.827
0.341 0.170 0.173
0.000 0.000 0.000
0.333 0.667 0.752
0.667 0.333 0.248
0.000 0.000 0.500
```

=====

(13)
A plane-wave DFT calculation with PBE-GGA was carried out for a relaxed NaP2IrO crystal.

Cell and atoms, written as POSCAR:
```
NaP2IrO
1.0
-4.514 -1.582 -1.221
1.953 -2.858 -3.519
0.319 -2.804 2.453
O P Na Ir
1 2 1 1
direct
0.000 0.000 0.500
0.500 0.000 0.000
0.000 0.500 0.000
0.500 0.500 0.500
0.000 0.000 0.000
```

=====

(14)
A plane-wave DFT calculation with PBE-GGA was carried out for a relaxed NaPIrO2 crystal.

Cell and atoms, written as POSCAR:
```
NaPIrO2
1.0
3.867 0.000 0.000
0.000 3.867 0.000
0.000 0.000 5.056
O Ir P Na
2 1 1 1
direct
0.500 0.000 0.000
0.000 0.500 0.000
0.000 0.000 0.000
0.000 0.000 0.500
0.500 0.500 0.500
```

=====

(15)
A plane-wave DFT calculation with PBE-GGA was carried out for a relaxed NaP2IrO crystal.

Cell and atoms, written as POSCAR:
```
NaP2IrO
1.0
4.734 0.000 0.000
0.000 4.734 0.000
0.000 0.000 3.714
O Na Ir P
1 1 1 2
direct
0.000 0.000 0.500
0.000 0.000 0.000
0.500 0.500 0.500
0.500 0.000 0.000
0.000 0.500 0.000
```

=====

(16)
A plane-wave DFT calculation with PBE-GGA was carried out for a relaxed NaPIrO2 crystal.

Cell and atoms, written as POSCAR:
```
NaPIrO2
1.0
3.806 0.000 0.000
0.000 3.806 0.000
0.000 0.000 5.460
O Ir P Na
2 1 1 1
direct
0.000 0.500 0.000
0.500 0.000 0.000
0.500 0.500 0.500
0.000 0.000 0.500
0.000 0.000 0.000
```

=====

(17)
A plane-wave DFT calculation with PBE-GGA was carried out for a relaxed NaPa2IrO8 crystal.

Cell and atoms, written as POSCAR:
```
NaPa2IrO8
1.0
-4.522 0.964 -2.773
2.747 -4.566 -0.825
-3.762 -3.172 5.032
O Pa Ir Na
8 2 1 1
direct
0.823 0.646 0.853
0.177 0.823 0.147
0.667 0.333 0.397
0.177 0.354 0.147
0.646 0.823 0.147
0.823 0.177 0.853
0.333 0.667 0.603
0.354 0.177 0.853
0.667 0.333 0.133
0.333 0.667 0.867
0.000 0.000 0.000
0.000 0.000 0.500
```

=====

(18)
A plane-wave DFT calculation with PBE-GGA was carried out for a relaxed NaPaIrO6 crystal.

Cell and atoms, written as POSCAR:
```
NaPaIrO6
1.0
-4.770 1.701 -2.275
0.293 -4.981 2.434
-2.707 4.122 8.759
O Pa Na Ir
12 2 2 2
direct
0.351 0.380 0.857
0.380 0.351 0.357
0.351 0.971 0.643
0.380 0.029 0.143
0.649 0.620 0.143
0.971 0.620 0.357
0.971 0.351 0.143
0.029 0.649 0.857
0.029 0.380 0.643
0.620 0.971 0.857
0.649 0.029 0.357
0.620 0.649 0.643
0.667 0.333 0.750
0.333 0.667 0.250
0.000 0.000 0.500
0.000 0.000 0.000
0.333 0.667 0.750
0.667 0.333 0.250
```

=====

(19)
A plane-wave DFT calculation with PBE-GGA was carried out for a relaxed Na2PaIrO6 crystal.

Cell and atoms, written as POSCAR:
```
Na2PaIrO6
1.0
-0.908 -4.373 3.578
4.325 -3.457 1.451
2.143 0.182 5.344
O Ir Na Pa
6 1 2 1
direct
0.079 0.483 0.813
0.149 0.007 0.292
0.483 0.625 0.811
0.008 0.552 0.291
0.553 0.149 0.291
0.624 0.080 0.812
0.316 0.316 0.052
0.067 0.068 0.797
0.565 0.565 0.306
0.816 0.816 0.552
```

=====

(20)
A plane-wave DFT calculation with PBE-GGA was carried out for a relaxed NaIrPb2O8 crystal.

Cell and atoms, written as POSCAR:
```
NaIrPb2O8
1.0
5.081 -0.055 -0.003
-0.031 4.849 -0.005
0.004 0.007 6.744
O Pb Ir Na
8 2 1 1
direct
0.682 0.744 0.000
0.318 0.256 0.000
0.847 0.214 0.201
0.153 0.786 0.799
0.341 0.271 0.500
0.153 0.786 0.201
0.659 0.729 0.500
0.847 0.214 0.799
0.500 0.500 0.256
0.500 0.500 0.744
0.000 0.000 0.000
0.000 0.000 0.500
```

=====

Number 1: raw total energy -17.32 eV per formula unit, total magnetization 2.000 μB/f.u., raw formation energy 92 meV/atom. Number 2: raw total energy -106.40 eV per formula unit, total magnetization 0.000 μB/f.u., raw formation energy -596 meV/atom. Number 3: raw total energy -46.57 eV per formula unit, total magnetization 1.039 μB/f.u., raw formation energy -592 meV/atom. Number 4: raw total energy -28.50 eV per formula unit, total magnetization 1.151 μB/f.u., raw formation energy -689 meV/atom. Number 5: raw total energy -29.99 eV per formula unit, total magnetization 2.008 μB/f.u., raw formation energy -987 meV/atom. Number 6: raw total energy -42.72 eV per formula unit, total magnetization 1.985 μB/f.u., raw formation energy -1259 meV/atom. Number 7: raw total energy -63.45 eV per formula unit, total magnetization 0.001 μB/f.u., raw formation energy -762 meV/atom. Number 8: raw total energy -20.81 eV per formula unit, total magnetization 0.000 μB/f.u., raw formation energy -178 meV/atom. Number 9: raw total energy -84.44 eV per formula unit, total magnetization 0.003 μB/f.u., raw formation energy -1011 meV/atom. Number 10: raw total energy -59.94 eV per formula unit, total magnetization 0.000 μB/f.u., raw formation energy -975 meV/atom. Number 11: raw total energy -81.06 eV per formula unit, total magnetization 0.000 μB/f.u., raw formation energy -927 meV/atom. Number 12: raw total energy -79.80 eV per formula unit, total magnetization 0.000 μB/f.u., raw formation energy -1594 meV/atom. Number 13: raw total energy -25.42 eV per formula unit, total magnetization 0.000 μB/f.u., raw formation energy 108 meV/atom. Number 14: raw total energy -26.65 eV per formula unit, total magnetization 0.322 μB/f.u., raw formation energy -229 meV/atom. Number 15: raw total energy -18.20 eV per formula unit, total magnetization 0.976 μB/f.u., raw formation energy 1552 meV/atom. Number 16: raw total energy -19.30 eV per formula unit, total magnetization 3.245 μB/f.u., raw formation energy 1242 meV/atom. Number 17: raw total energy -94.50 eV per formula unit, total magnetization 1.824 μB/f.u., raw formation energy -2139 meV/atom. Number 18: raw total energy -66.58 eV per formula unit, total magnetization 2.722 μB/f.u., raw formation energy -1906 meV/atom. Number 19: raw total energy -71.10 eV per formula unit, total magnetization 1.308 μB/f.u., raw formation energy -2036 meV/atom. Number 20: raw total energy -65.97 eV per formula unit, total magnetization 1.720 μB/f.u., raw formation energy -726 meV/atom.